Material: LiY2Mo
Method: DFT, PBE-GGA
State: relaxed

Properties
Uncorrected energy = -47.8 eV/cell
Polymorph energy (0 for the lowest one) = 0.210 eV/atom
ΔH_f (0 K) = 1.8 eV per formula unit

a b c (Å): 4.3422 4.3422 9.5867
angles (deg): 90.00 90.00 90.00
Space group I-4m2 (No. 119)
Inequivalent atoms, fractional coordinates:
1 Li 0.0000 0.0000 0.0000
2 Y 0.0000 0.0000 0.5000
3 Y 0.0000 0.5000 0.2500
4 Mo 0.0000 0.5000 0.7500

Material: LaGdCdRh
Method: DFT, PBE-GGA
State: relaxed

Properties
Uncorrected energy = -116.3 eV/cell
ΔH_f (0 K) = -1.8 eV per formula unit

a b c (Å): 7.3763 7.3763 7.3763
angles (deg): 90.00 90.00 90.00
Space group F-43m (No. 216)
Inequivalent atoms, fractional coordinates:
1 La 0.0000 0.0000 0.0000
2 Gd 0.0000 0.0000 0.5000
3 Cd 0.2500 0.2500 0.2500
4 Rh 0.2500 0.2500 0.7500

Material: Pm3RhSe2
Method: DFT, PBE-GGA
State: relaxed

Properties
ΔE_f (raw) = -1.412 eV per atom
Uncorrected energy = -74.1 eV/cell

a b c (Å): 4.0597 6.0057 12.9290
angles (deg): 90.00 90.00 90.00
Space group Immm (No. 71)
Inequivalent atoms, fractional coordinates:
1 Pm 0.0000 0.0000 0.0000
2 Pm 0.0000 0.0000 0.3484
3 Rh 0.0000 0.5000 0.0000
4 Se 0.0000 0.5000 0.3285

Material: HfRh4
Method: DFT, PBE-GGA
State: relaxed

Properties
Uncorrected energy = -167.3 eV/cell
ΔH_f (0 K) = -2.5 eV per formula unit

a b c (Å): 4.1754 5.5056 13.3942
angles (deg): 90.00 90.00 90.00
Space group Imma (No. 74)
Inequivalent atoms, fractional coordinates:
1 Hf 0.0000 0.2500 0.1053
2 Rh 0.0000 0.0000 0.5000
3 Rh 0.0000 0.0091 0.6960
4 Rh 0.0000 0.2500 0.8952

Material: Sn2Cl13
Method: DFT, PBE-GGA
State: relaxed

Properties
ΔE_f (raw) = -0.446 eV per atom
Uncorrected energy = -38.7 eV/cell

a b c (Å): 6.3429 8.2110 10.1836
angles (deg): 105.69 98.06 98.66
Space group P-1 (No. 2)
Inequivalent atoms, fractional coordinates:
1 Sn 0.1402 0.1413 0.2709
2 Cl 0.0000 0.0000 0.0000
3 Cl 0.0723 0.4014 0.2254
4 Cl 0.1781 0.8597 0.2711
5 Cl 0.2599 0.9529 0.7013
6 Cl 0.2777 0.2735 0.5102
7 Cl 0.3936 0.4675 0.0581
8 Cl 0.4738 0.7827 0.8015

Material: LuGaSi2
Method: DFT, PBE-GGA
State: relaxed

Properties
ΔE_f (raw) = -0.283 eV per atom
Uncorrected energy = -19.5 eV/cell

a b c (Å): 4.1639 4.1639 4.0769
angles (deg): 90.00 90.00 90.00
Space group P4/mmm (No. 123)
Inequivalent atoms, fractional coordinates:
1 Lu 0.0000 0.0000 0.0000
2 Ga 0.5000 0.5000 0.0000
3 Si 0.0000 0.5000 0.5000

Material: La5Hg4Ru
Method: DFT, PBE-GGA
State: relaxed

Properties
Uncorrected energy = -39.3 eV/cell
ΔH_f (0 K) = -4.2 eV per formula unit

a b c (Å): 3.7684 3.7684 19.9429
angles (deg): 90.00 90.00 90.00
Space group P4/mmm (No. 123)
Inequivalent atoms, fractional coordinates:
1 La 0.0000 0.0000 0.0000
2 La 0.0000 0.0000 0.2068
3 La 0.0000 0.0000 0.4181
4 Hg 0.5000 0.5000 0.1033
5 Hg 0.5000 0.5000 0.3081
6 Ru 0.5000 0.5000 0.5000

Material: Y6Ge3S14
Method: DFT, PBE-GGA
State: relaxed

Properties
ΔE_f (raw) = -1.442 eV per atom
Uncorrected energy = -143.6 eV/cell

a b c (Å): 9.9084 9.9084 5.8431
angles (deg): 90.00 90.00 120.00
Space group P3 (No. 143)
Inequivalent atoms, fractional coordinates:
1 Y 0.0273 0.4685 0.0000
2 Y 0.3074 0.1995 0.4889
3 Ge 0.0000 0.0000 0.0688
4 Ge 0.3333 0.6667 0.5784
5 Ge 0.6667 0.3333 0.7097
6 S 0.0000 0.0000 0.6911
7 S 0.0864 0.2344 0.2330
8 S 0.1850 0.7530 0.7404
9 S 0.3333 0.6667 0.1997
10 S 0.4095 0.2328 0.9448
11 S 0.5053 0.0722 0.4512

Material: SrH2RhCl
Method: DFT, PBE-GGA
State: relaxed

Properties
Uncorrected energy = -14.0 eV/cell

a b c (Å): 3.9844 3.9844 5.8807
angles (deg): 90.00 90.00 90.00
Space group P4/mmm (No. 123)
Inequivalent atoms, fractional coordinates:
1 Sr 0.0000 0.0000 0.0000
2 H 0.0000 0.5000 0.5000
3 Rh 0.5000 0.5000 0.0000
4 Cl 0.0000 0.0000 0.5000

Material: Cs3SiRu
Method: DFT, PBE-GGA
State: relaxed

Properties
ΔE_f (raw) = 1.140 eV per atom
Uncorrected energy = -11.6 eV/cell
Polymorph energy (0 for the lowest one) = 0.000 eV/atom

a b c (Å): 5.9283 5.9283 5.9283
angles (deg): 90.00 90.00 90.00
Space group Pm-3m (No. 221)
Inequivalent atoms, fractional coordinates:
1 Cs 0.0000 0.0000 0.5000
2 Si 0.5000 0.5000 0.5000
3 Ru 0.0000 0.0000 0.0000

Material: Si3OsO
Method: DFT, PBE-GGA
State: relaxed

Properties
ΔE_f (raw) = 0.380 eV per atom
Uncorrected energy = -30.6 eV/cell
Polymorph energy (0 for the lowest one) = 0.177 eV/atom

a b c (Å): 4.5508 4.5508 4.5508
angles (deg): 90.00 90.00 90.00
Space group Pm-3m (No. 221)
Inequivalent atoms, fractional coordinates:
1 Si 0.0000 0.0000 0.5000
2 Os 0.0000 0.0000 0.0000
3 O 0.5000 0.5000 0.5000

Material: Dy6Tm12Th
Method: DFT, PBE-GGA
State: relaxed

Properties
Uncorrected energy = -257.3 eV/cell
Polymorph energy (0 for the lowest one) = 0.000 eV/atom
ΔH_f (0 K) = 2.9 eV per formula unit

a b c (Å): 11.7751 11.7751 14.9650
angles (deg): 90.00 90.00 120.00
Space group R-3 (No. 148, hexagonal axes)
Inequivalent atoms, fractional coordinates:
1 Dy 0.0089 0.4216 0.1756
2 Tm 0.0260 0.8432 0.6901
3 Tm 0.0408 0.8540 0.9148
4 Th 0.0000 0.0000 0.5000